## NaInCu2F8 (PBE)

Data for NaInCu2F8 after structural relaxation.

Lattice parameters (Å, degrees): 6.4603 6.4603 6.4603 130.87 130.87 72.02
Element x y z (fractional)
Na (0.0000, 0.0000, 0.0000)
In (0.2500, 0.7500, 0.5000)
Cu (0.5000, 0.5000, 0.0000)
Cu (0.7500, 0.2500, 0.5000)
F (0.2719, 0.4273, 0.5577)
F (0.2858, 0.7281, 0.1554)
F (0.4050, 0.0110, 0.0353)
F (0.5727, 0.1304, 0.8446)
F (0.6304, 0.5950, 0.6060)
F (0.8696, 0.7142, 0.4423)
F (0.9757, 0.3696, 0.9647)
F (0.9890, 0.0243, 0.3940)

Values from the calculation:
Fermi-level density of states   3.217 states/eV/cell
Crystal system   tetragonal
Magnetic moment   2.000 μB per cell
Raw formation energy   -1.997 eV per atom
Total energy   -4.266 eV per atom
Space group   I-4

=====

## Na2InCuF (PBE)

Data for Na2InCuF after structural relaxation.

Lattice parameters (Å, degrees): 6.0251 6.0251 4.4989 90.00 90.00 90.00
Element x y z (fractional)
Na (0.0000, 0.5000, 0.0000)
Na (0.5000, 0.0000, 0.0000)
In (0.0000, 0.0000, 0.0000)
Cu (0.5000, 0.5000, 0.5000)
F (0.0000, 0.0000, 0.5000)

Values from the calculation:
Fermi-level density of states   3.054 states/eV/cell
Crystal system   tetragonal
Magnetic moment   0.000 μB per cell
Raw formation energy   -0.127 eV per atom
Total energy   -2.395 eV per atom
Space group   P4/mmm

=====

## Na2InCuF6 (PBE)

Data for Na2InCuF6 after structural relaxation.

Lattice parameters (Å, degrees): 6.0001 6.0001 6.0001 60.00 60.00 60.00
Element x y z (fractional)
Na (0.2500, 0.2500, 0.2500)
Na (0.7500, 0.7500, 0.7500)
In (0.0000, 0.0000, 0.0000)
Cu (0.5000, 0.5000, 0.5000)
F (0.2496, 0.2496, 0.7504)
F (0.2496, 0.7504, 0.2496)
F (0.2496, 0.7504, 0.7504)
F (0.7504, 0.2496, 0.2496)
F (0.7504, 0.2496, 0.7504)
F (0.7504, 0.7504, 0.2496)

Values from the calculation:
Distance to the lowest polymorph of the same formula   130.8 kJ/mol of formula units
Fermi-level density of states   4.019 states/eV/cell
Crystal system   cubic
Magnetic moment   0.168 μB per cell
Raw formation energy   -2.186 eV per atom
Total energy   -4.257 eV per atom
Space group   Fm-3m

=====

## Na2InCuF6 (PBE)

Data for Na2InCuF6 after structural relaxation.

Lattice parameters (Å, degrees): 5.6784 5.5195 11.0982 90.00 120.58 90.00
Element x y z (fractional)
Na (0.2105, 0.0011, 0.2113)
Na (0.2105, 0.4989, 0.7113)
Na (0.7895, 0.5011, 0.2887)
Na (0.7895, 0.9989, 0.7887)
In (0.5000, 0.0000, 0.0000)
In (0.5000, 0.5000, 0.5000)
Cu (0.0000, 0.0000, 0.5000)
Cu (0.0000, 0.5000, 0.0000)
F (0.1719, 0.2090, 0.9992)
F (0.1719, 0.2910, 0.4992)
F (0.1855, 0.7120, 0.3477)
F (0.1855, 0.7880, 0.8477)
F (0.4927, 0.7084, 0.6545)
F (0.4927, 0.7916, 0.1545)
F (0.5073, 0.2084, 0.8455)
F (0.5073, 0.2916, 0.3455)
F (0.8145, 0.2120, 0.1523)
F (0.8145, 0.2880, 0.6523)
F (0.8281, 0.7090, 0.5008)
F (0.8281, 0.7910, 0.0008)

Values from the calculation:
Distance to the lowest polymorph of the same formula   0.0 kJ/mol of formula units
Crystal system   monoclinic
Magnetic moment   0.144 μB per cell
Raw formation energy   -2.322 eV per atom
Total energy   -4.392 eV per atom
Space group   P2_1/c

=====

## Na2InCuF8 (PBE)

Data for Na2InCuF8 after structural relaxation.

Lattice parameters (Å, degrees): 4.5768 5.3115 6.9155 85.07 86.69 84.37
Element x y z (fractional)
Na (0.0279, 0.4860, 0.2494)
Na (0.9721, 0.5140, 0.7506)
In (0.5000, 0.0000, 0.5000)
Cu (0.5000, 0.0000, 0.0000)
F (0.1249, 0.2401, 0.5269)
F (0.1846, 0.2270, 0.9983)
F (0.3574, 0.8344, 0.2220)
F (0.3767, 0.7442, 0.7274)
F (0.6233, 0.2558, 0.2726)
F (0.6426, 0.1656, 0.7780)
F (0.8154, 0.7730, 0.0017)
F (0.8751, 0.7599, 0.4731)

Values from the calculation:
Crystal system   triclinic
Magnetic moment   0.000 μB per cell
Raw formation energy   -2.212 eV per atom
Total energy   -4.249 eV per atom
Space group   P-1

=====

## NaInCu2F (PBE)

Data for NaInCu2F after structural relaxation.

Lattice parameters (Å, degrees): 4.6660 4.6660 6.2154 90.00 90.00 90.00
Element x y z (fractional)
Na (0.0000, 0.0000, 0.0000)
In (0.0000, 0.0000, 0.5000)
Cu (0.0000, 0.5000, 0.0000)
Cu (0.5000, 0.0000, 0.0000)
F (0.5000, 0.5000, 0.5000)

Values from the calculation:
Fermi-level density of states   1.967 states/eV/cell
Crystal system   tetragonal
Magnetic moment   0.000 μB per cell
Raw formation energy   0.590 eV per atom
Total energy   -2.234 eV per atom
Space group   P4/mmm

=====

## Nb2InCuF (PBE)

Data for Nb2InCuF after structural relaxation.

Lattice parameters (Å, degrees): 5.3316 5.3316 4.6875 90.00 90.00 90.00
Element x y z (fractional)
Nb (0.0000, 0.5000, 0.0000)
Nb (0.5000, 0.0000, 0.0000)
In (0.0000, 0.0000, 0.0000)
Cu (0.0000, 0.0000, 0.5000)
F (0.5000, 0.5000, 0.5000)

Values from the calculation:
Fermi-level density of states   6.152 states/eV/cell
Crystal system   tetragonal
Magnetic moment   5.146 μB per cell
Raw formation energy   1.465 eV per atom
Total energy   -4.304 eV per atom
Space group   P4/mmm

=====

Which formula does entry 5 have? Na2InCuF8